<w>
VASP calculation (PBEsol) on a relaxed Cd2ReW crystal.

Its space group is Imm2.

Cell: 3.228 4.786 5.378 Å, 116.42 107.46 90.00°
Fractional coordinates of all 4 atoms:
1 W 0.226 0.726 0.451
2 Cd 0.994 0.994 0.988
3 Cd 0.757 0.257 0.515
4 Re 0.523 0.523 0.046

---

<x>
VASP calculation (PBEsol) on a relaxed Cd2ReW crystal.

Its space group is R-3m.

Cell: 2.827 2.827 9.861 Å, 81.76 81.76 60.00°
Fractional coordinates of all 4 atoms:
1 Cd 0.249 0.249 0.253
2 Cd 0.751 0.751 0.747
3 Re 0.500 0.500 0.500
4 W 0.000 0.000 0.000

---

The most stable arrangement is <w>, and the next structure is 43 meV per atom less stable.

---

<w>
VASP calculation (PBEsol) on a relaxed CrOs2Au crystal.

Its space group is Cmmm.

Cell: 2.655 2.655 9.185 Å, 90.00 90.00 116.99°
Fractional coordinates of all 4 atoms:
1 Cr 0.500 0.500 0.000
2 Os 0.000 0.000 0.223
3 Os 0.000 0.000 0.777
4 Au 0.500 0.500 0.500

---

<x>
VASP calculation (PBEsol) on a relaxed CrOs2Au crystal.

Its space group is C2/m.

Cell: 2.713 4.687 4.717 Å, 101.47 106.71 90.00°
Fractional coordinates of all 4 atoms:
1 Cr 0.500 0.000 0.000
2 Au 0.000 0.500 0.000
3 Os 0.233 0.225 0.466
4 Os 0.767 0.775 0.534

---

The most stable arrangement is <x>, and the next structure is 173 meV per atom less stable.